Entry 1:
Here is an optimized crystal structure of YTa2Si from Alexandria. Energies are from PBE.

Cell: 8.7681 3.6808 5.4324 Å, 90.00 108.86 90.00°
Space group Cm (No. 8)
One atom of each set of equivalent atoms:
Y 0.0000 0.0000 0.0000 x2
Ta 0.2194 0.0000 0.6787 x2
Ta 0.4682 0.0000 0.4532 x2
Si 0.2439 0.5000 0.3439 x2

Formation energy (no corrections)   0.045 eV/atom
D(E_F)   0.6075 states/eV per atom
Total magnetic moment   0.00 μB per formula unit

=====

Entry 2:
Here is an optimized crystal structure of Y2TaSi2 from Alexandria. Energies are from PBE.

Cell: 7.0626 7.0626 4.1587 Å, 90.00 90.00 90.00°
Space group P4/mbm (No. 127)
One atom of each set of equivalent atoms:
Y 0.1767 0.3233 0.0000 x4
Ta 0.0000 0.0000 0.5000 x2
Si 0.1280 0.6280 0.5000 x4

Formation energy (no corrections)   -0.562 eV/atom
D(E_F)   1.0545 states/eV per atom
Total magnetic moment   0.00 μB per formula unit

=====

Entry 3:
Here is an optimized crystal structure of YTaSi2 from Alexandria. Energies are from PBE.

Cell: 3.9583 5.0002 7.5593 Å, 90.00 90.00 90.00°
Space group Immm (No. 71)
One atom of each set of equivalent atoms:
Y 0.0000 0.0000 0.0000 x2
Ta 0.0000 0.0000 0.5000 x2
Si 0.0000 0.5000 0.2373 x4

Formation energy (no corrections)   -0.214 eV/atom
D(E_F)   0.4754 states/eV per atom
Total magnetic moment   0.00 μB per formula unit

=====

Entry 4:
Here is an optimized crystal structure of YTa2Si from Alexandria. Energies are from PBE.

Cell: 2.9917 2.9917 8.6806 Å, 90.00 90.00 90.00°
Space group P4/mmm (No. 123)
One atom of each set of equivalent atoms:
Y 0.0000 0.0000 0.0000 x1
Ta 0.5000 0.5000 0.3022 x2
Si 0.0000 0.0000 0.5000 x1

Formation energy (no corrections)   0.157 eV/atom
D(E_F)   1.0359 states/eV per atom
Total magnetic moment   0.00 μB per formula unit

=====

Entry 5:
Here is an optimized crystal structure of YTaSi2 from Alexandria. Energies are from PBE.

Cell: 3.9527 3.9619 9.3273 Å, 90.00 90.00 90.00°
Space group Imm2 (No. 44)
One atom of each set of equivalent atoms:
Y 0.0000 0.0000 0.0000 x2
Ta 0.0000 0.5000 0.2495 x2
Si 0.0000 0.0000 0.4939 x2
Si 0.0000 0.5000 0.7501 x2

Formation energy (no corrections)   -0.142 eV/atom
D(E_F)   0.6416 states/eV per atom
Total magnetic moment   0.00 μB per formula unit

=====

Entry 6:
Here is an optimized crystal structure of YTaSi2 from Alexandria. Energies are from PBE.

Cell: 3.9338 4.7945 7.8016 Å, 90.00 90.00 90.00°
Space group Cmmm (No. 65)
One atom of each set of equivalent atoms:
Y 0.0000 0.0000 0.0000 x2
Ta 0.0000 0.0000 0.5000 x2
Si 0.0000 0.5000 0.2743 x4

Formation energy (no corrections)   -0.252 eV/atom
D(E_F)   0.6645 states/eV per atom
Total magnetic moment   0.14 μB per formula unit

=====

Entry 7:
Here is an optimized crystal structure of YTa2Si from Alexandria. Energies are from PBE.

Cell: 3.4464 3.4464 6.6235 Å, 90.00 90.00 90.00°
Space group P4/mmm (No. 123)
One atom of each set of equivalent atoms:
Y 0.0000 0.0000 0.0000 x1
Ta 0.5000 0.5000 0.3114 x2
Si 0.0000 0.0000 0.5000 x1

Formation energy (no corrections)   -0.043 eV/atom
D(E_F)   0.5564 states/eV per atom
Total magnetic moment   0.00 μB per formula unit

=====

Entry 8:
Here is an optimized crystal structure of YTa2Si from Alexandria. Energies are from PBE.

Cell: 3.1783 4.9257 5.1610 Å, 90.00 96.65 90.00°
Space group P2/m (No. 10)
One atom of each set of equivalent atoms:
Y 0.0000 0.0000 0.0000 x1
Ta 0.3709 0.5000 0.7369 x2
Si 0.5000 0.0000 0.5000 x1

Formation energy (no corrections)   0.136 eV/atom
D(E_F)   0.9930 states/eV per atom
Total magnetic moment   0.00 μB per formula unit

=====

Entry 9:
Here is an optimized crystal structure of YTa2Si from Alexandria. Energies are from PBE.

Cell: 3.8644 4.4209 9.1744 Å, 90.00 90.00 90.00°
Space group Imm2 (No. 44)
One atom of each set of equivalent atoms:
Y 0.0000 0.0000 0.0000 x2
Ta 0.0000 0.0000 0.5626 x2
Ta 0.0000 0.5000 0.7639 x2
Si 0.0000 0.5000 0.2560 x2

Formation energy (no corrections)   0.140 eV/atom
D(E_F)   0.6765 states/eV per atom
Total magnetic moment   0.00 μB per formula unit

=====

Entry 10:
Here is an optimized crystal structure of YTaSi2 from Alexandria. Energies are from PBE.

Cell: 3.4188 3.4188 6.3437 Å, 90.00 90.00 90.00°
Space group P4/mmm (No. 123)
One atom of each set of equivalent atoms:
Y 0.0000 0.0000 0.0000 x1
Ta 0.0000 0.0000 0.5000 x1
Si 0.5000 0.5000 0.3050 x2

Formation energy (no corrections)   -0.331 eV/atom
D(E_F)   0.8100 states/eV per atom
Total magnetic moment   0.18 μB per formula unit

=====

Entry 11:
Here is an optimized crystal structure of YTa2Si from Alexandria. Energies are from PBE.

Cell: 4.0372 4.0372 20.2022 Å, 90.00 90.00 90.00°
Space group I-42d (No. 122)
One atom of each set of equivalent atoms:
Y 0.0000 0.0000 0.0000 x4
Ta 0.2337 0.2500 0.6250 x8
Si 0.0000 0.0000 0.5000 x4

Formation energy (no corrections)   0.368 eV/atom
D(E_F)   1.2392 states/eV per atom
Total magnetic moment   0.00 μB per formula unit

=====

Entry 12:
Here is an optimized crystal structure of YTa2Si from Alexandria. Energies are from PBE.

Cell: 4.0615 4.0615 9.5064 Å, 90.00 90.00 90.00°
Space group I4/mmm (No. 139)
One atom of each set of equivalent atoms:
Y 0.0000 0.0000 0.0000 x2
Ta 0.0000 0.5000 0.2500 x4
Si 0.0000 0.0000 0.5000 x2

Formation energy (no corrections)   0.113 eV/atom
D(E_F)   0.9242 states/eV per atom
Total magnetic moment   0.00 μB per formula unit